Record 1
{
  "formula": "Ca6MgPd2",
  "functional": "PBE",
  "state": "relaxed",
  "lattice": [[-4.934, 4.967, 5.624], [4.934, -4.967, 5.624], [4.934, 4.967, -5.624]],
  "species": ["Ca", "Ca", "Ca", "Ca", "Ca", "Ca", "Ca", "Ca", "Ca", "Ca", "Ca", "Ca", "Mg", "Mg", "Pd", "Pd", "Pd", "Pd"],
  "frac_coords": [[0.045, 0.244, 0.800], [0.180, 0.295, 0.474], [0.180, 0.705, 0.885], [0.340, 0.020, 0.680], [0.340, 0.660, 0.320], [0.444, 0.244, 0.200], [0.556, 0.756, 0.800], [0.660, 0.340, 0.680], [0.660, 0.980, 0.320], [0.820, 0.295, 0.115], [0.820, 0.705, 0.526], [0.955, 0.756, 0.200], [0.000, 0.000, 0.000], [0.500, 0.500, 0.000], [0.131, 0.631, 0.500], [0.294, 0.000, 0.294], [0.706, 0.000, 0.706], [0.869, 0.369, 0.500]],
  "rho_g_cm3": 2.88,
  "dos_ef_per_ev_fu": 6.0,
  "e_form_ev_per_atom": -0.3956,
  "final_energy_ev_per_atom": -3.061,
  "total_magnetization_mub_per_fu": 0.000,
  "crystal_system": "orthorhombic"
}



Record 2
{
  "formula": "CaMg2Pd",
  "functional": "PBE",
  "state": "relaxed",
  "lattice": [[0.000, 3.489, 3.489], [3.489, 0.000, 3.489], [3.489, 3.489, 0.000]],
  "species": ["Ca", "Mg", "Mg", "Pd"],
  "frac_coords": [[0.000, 0.000, 0.000], [0.250, 0.250, 0.250], [0.750, 0.750, 0.750], [0.500, 0.500, 0.500]],
  "rho_g_cm3": 3.81,
  "dos_ef_per_ev_fu": 3.0,
  "e_form_ev_per_atom": -0.2798,
  "final_energy_ev_per_atom": -2.876,
  "total_magnetization_mub_per_fu": 0.000,
  "crystal_system": "cubic"
}



Record 3
{
  "formula": "CaMg3Pd3",
  "functional": "PBE",
  "state": "relaxed",
  "lattice": [[7.065, 0.000, 0.000], [0.000, 7.065, 0.000], [0.000, 0.000, 7.065]],
  "species": ["Ca", "Ca", "Mg", "Mg", "Mg", "Mg", "Mg", "Mg", "Pd", "Pd", "Pd", "Pd", "Pd", "Pd"],
  "frac_coords": [[0.000, 0.000, 0.000], [0.500, 0.500, 0.500], [0.000, 0.250, 0.500], [0.000, 0.750, 0.500], [0.250, 0.500, 0.000], [0.500, 0.000, 0.250], [0.500, 0.000, 0.750], [0.750, 0.500, 0.000], [0.000, 0.500, 0.250], [0.000, 0.500, 0.750], [0.250, 0.000, 0.500], [0.500, 0.250, 0.000], [0.500, 0.750, 0.000], [0.750, 0.000, 0.500]],
  "rho_g_cm3": 4.07,
  "dos_ef_per_ev_fu": 2.6,
  "e_form_ev_per_atom": -0.1432,
  "final_energy_ev_per_atom": -3.338,
  "total_magnetization_mub_per_fu": 0.000,
  "crystal_system": "cubic"
}



Record 4
{
  "formula": "CaMg5Pd6",
  "functional": "PBE",
  "state": "relaxed",
  "lattice": [[4.521, 0.000, 0.000], [0.000, 6.671, 0.000], [-2.142, 0.000, 6.783]],
  "species": ["Ca", "Mg", "Mg", "Mg", "Mg", "Mg", "Pd", "Pd", "Pd", "Pd", "Pd", "Pd"],
  "frac_coords": [[0.000, 0.000, 0.000], [0.000, 0.500, 0.000], [0.330, 0.000, 0.659], [0.334, 0.500, 0.668], [0.666, 0.500, 0.332], [0.670, 0.000, 0.341], [0.172, 0.260, 0.343], [0.172, 0.740, 0.343], [0.500, 0.267, 0.000], [0.500, 0.733, 0.000], [0.828, 0.260, 0.657], [0.828, 0.740, 0.657]],
  "rho_g_cm3": 6.49,
  "dos_ef_per_ev_fu": 3.2,
  "e_form_ev_per_atom": -0.6957,
  "final_energy_ev_per_atom": -4.123,
  "total_magnetization_mub_per_fu": 0.000,
  "crystal_system": "monoclinic"
}



Record 5
{
  "formula": "Ca2Mg12Pd7",
  "functional": "PBE",
  "state": "relaxed",
  "lattice": [[11.075, 0.000, 0.000], [-5.538, 9.591, 0.000], [0.000, 0.000, 3.989]],
  "species": ["Ca", "Ca", "Mg", "Mg", "Mg", "Mg", "Mg", "Mg", "Mg", "Mg", "Mg", "Mg", "Mg", "Mg", "Pd", "Pd", "Pd", "Pd", "Pd", "Pd", "Pd"],
  "frac_coords": [[0.000, 0.000, 0.000], [0.333, 0.667, 0.500], [0.054, 0.767, 0.500], [0.101, 0.389, 0.000], [0.233, 0.287, 0.500], [0.288, 0.899, 0.000], [0.391, 0.216, 0.000], [0.537, 0.111, 0.500], [0.574, 0.463, 0.500], [0.611, 0.712, 0.000], [0.713, 0.946, 0.500], [0.784, 0.175, 0.000], [0.825, 0.609, 0.000], [0.889, 0.426, 0.500], [0.077, 0.617, 0.000], [0.245, 0.043, 0.500], [0.383, 0.460, 0.000], [0.540, 0.923, 0.000], [0.667, 0.333, 0.000], [0.798, 0.755, 0.500], [0.957, 0.202, 0.500]],
  "rho_g_cm3": 4.38,
  "dos_ef_per_ev_fu": 9.0,
  "e_form_ev_per_atom": -0.5340,
  "final_energy_ev_per_atom": -3.367,
  "total_magnetization_mub_per_fu": 0.000,
  "crystal_system": "hexagonal"
}



Record 6
{
  "formula": "CaMg2Pd9",
  "functional": "PBE",
  "state": "relaxed",
  "lattice": [[4.032, 0.000, 0.000], [0.000, 4.032, 0.000], [0.000, 0.000, 12.017]],
  "species": ["Ca", "Mg", "Mg", "Pd", "Pd", "Pd", "Pd", "Pd", "Pd", "Pd", "Pd", "Pd"],
  "frac_coords": [[0.000, 0.000, 0.000], [0.000, 0.000, 0.339], [0.000, 0.000, 0.661], [0.000, 0.500, 0.179], [0.000, 0.500, 0.500], [0.000, 0.500, 0.821], [0.500, 0.000, 0.179], [0.500, 0.000, 0.500], [0.500, 0.000, 0.821], [0.500, 0.500, 0.000], [0.500, 0.500, 0.339], [0.500, 0.500, 0.661]],
  "rho_g_cm3": 8.90,
  "dos_ef_per_ev_fu": 15.9,
  "e_form_ev_per_atom": -0.4761,
  "final_energy_ev_per_atom": -4.803,
  "total_magnetization_mub_per_fu": 0.000,
  "crystal_system": "tetragonal"
}